! PBE Zn4Cu3Pd2, relaxed; values from VASP
! - DFT total energy: -30.23 eV/cell
! - Mass density: 8.97 g/cm³
! - Energy of formation from the pure elements: -0.27 eV/atom
! - SG: P-1
&SYSTEM
  ibrav = 0, nat = 9, ntyp = 3
/
ATOMIC_SPECIES
Zn 65.41 Zn.upf
Cu 63.55 Cu.upf
Pd 106.42 Pd.upf
ATOMIC_POSITIONS crystal
Zn 0.008 0.483 0.341
Zn 0.336 0.828 0.112
Zn 0.664 0.172 0.888
Zn 0.992 0.517 0.659
Cu 0.000 0.500 0.000
Cu 0.335 0.829 0.442
Cu 0.665 0.171 0.558
Pd 0.333 0.835 0.781
Pd 0.667 0.165 0.219
CELL_PARAMETERS angstrom
3.843 0.000 0.000
1.914 4.096 0.000
0.014 1.980 7.823

! PBE ZnCuPd6, relaxed; values from VASP
! - DFT total energy: -37.90 eV/cell
! - Energy above the most stable polymorph in this dataset: 0.000 eV/atom
! - Mass density: 10.69 g/cm³
! - Energy of formation from the pure elements: -0.17 eV/atom
! - SG: P4/mmm
&SYSTEM
  ibrav = 0, nat = 8, ntyp = 3
/
ATOMIC_SPECIES
Zn 65.41 Zn.upf
Cu 63.55 Cu.upf
Pd 106.42 Pd.upf
ATOMIC_POSITIONS crystal
Zn 0.000 0.000 0.000
Cu 0.000 0.000 0.500
Pd 0.000 0.500 0.252
Pd 0.000 0.500 0.748
Pd 0.500 0.000 0.252
Pd 0.500 0.000 0.748
Pd 0.500 0.500 0.000
Pd 0.500 0.500 0.500
CELL_PARAMETERS angstrom
3.905 0.000 0.000
0.000 3.905 0.000
0.000 0.000 7.817

! PBE Zn4CuPd2, relaxed; values from VASP
! - DFT total energy: -21.00 eV/cell
! - Mass density: 8.46 g/cm³
! - Energy of formation from the pure elements: -0.20 eV/atom
! - SG: C2/m
&SYSTEM
  ibrav = 0, nat = 7, ntyp = 3
/
ATOMIC_SPECIES
Zn 65.41 Zn.upf
Cu 63.55 Cu.upf
Pd 106.42 Pd.upf
ATOMIC_POSITIONS crystal
Zn 0.000 0.500 0.500
Zn 0.188 0.812 0.000
Zn 0.500 0.000 0.500
Zn 0.812 0.188 0.000
Cu 0.000 0.000 0.500
Pd 0.392 0.392 0.224
Pd 0.608 0.608 0.776
CELL_PARAMETERS angstrom
2.645 -4.013 0.000
2.645 4.013 0.000
-0.913 0.000 4.974

! PBE Zn7Cu2Pd2, relaxed; values from VASP
! - DFT total energy: -29.99 eV/cell
! - Mass density: 8.31 g/cm³
! - Energy of formation from the pure elements: -0.23 eV/atom
! - SG: Imm2
&SYSTEM
  ibrav = 0, nat = 11, ntyp = 3
/
ATOMIC_SPECIES
Zn 65.41 Zn.upf
Cu 63.55 Cu.upf
Pd 106.42 Pd.upf
ATOMIC_POSITIONS crystal
Zn 0.000 0.000 0.000
Zn 0.188 0.546 0.642
Zn 0.191 0.331 0.860
Zn 0.471 0.331 0.140
Zn 0.508 0.142 0.367
Zn 0.775 0.142 0.633
Zn 0.903 0.546 0.358
Cu 0.338 0.838 0.500
Cu 0.624 0.624 0.000
Pd 0.057 0.843 0.213
Pd 0.630 0.843 0.787
CELL_PARAMETERS angstrom
-2.085 5.678 3.367
2.085 -5.678 3.367
2.085 5.678 -3.367

! PBE Zn2CuPd2, relaxed; values from VASP
! - DFT total energy: -36.68 eV/cell
! - Energy above the most stable polymorph in this dataset: 0.080 eV/atom
! - Mass density: 9.03 g/cm³
! - Energy of formation from the pure elements: -0.26 eV/atom
! - SG: P4/mbm
&SYSTEM
  ibrav = 0, nat = 10, ntyp = 3
/
ATOMIC_SPECIES
Zn 65.41 Zn.upf
Cu 63.55 Cu.upf
Pd 106.42 Pd.upf
ATOMIC_POSITIONS crystal
Zn 0.136 0.364 0.000
Zn 0.364 0.864 0.000
Zn 0.636 0.136 0.000
Zn 0.864 0.636 0.000
Cu 0.000 0.000 0.000
Cu 0.500 0.500 0.000
Pd 0.162 0.662 0.500
Pd 0.338 0.162 0.500
Pd 0.662 0.838 0.500
Pd 0.838 0.338 0.500
CELL_PARAMETERS angstrom
7.180 0.000 0.000
0.000 7.180 0.000
0.000 0.000 2.905

! PBE ZnCu2Pd5, relaxed; values from VASP
! - DFT total energy: -74.32 eV/cell
! - Energy above the most stable polymorph in this dataset: 0.000 eV/atom
! - Mass density: 10.42 g/cm³
! - Energy of formation from the pure elements: -0.22 eV/atom
! - SG: Pbam
&SYSTEM
  ibrav = 0, nat = 16, ntyp = 3
/
ATOMIC_SPECIES
Zn 65.41 Zn.upf
Cu 63.55 Cu.upf
Pd 106.42 Pd.upf
ATOMIC_POSITIONS crystal
Zn 0.000 0.000 0.000
Zn 0.500 0.500 0.000
Cu 0.195 0.367 0.500
Cu 0.305 0.867 0.500
Cu 0.695 0.133 0.500
Cu 0.805 0.633 0.500
Pd 0.000 0.500 0.000
Pd 0.067 0.757 0.000
Pd 0.198 0.114 0.500
Pd 0.302 0.614 0.500
Pd 0.433 0.257 0.000
Pd 0.500 0.000 0.000
Pd 0.567 0.743 0.000
Pd 0.698 0.386 0.500
Pd 0.802 0.886 0.500
Pd 0.933 0.243 0.000
CELL_PARAMETERS angstrom
5.371 0.000 0.000
0.000 10.667 0.000
0.000 0.000 4.031